Entry 1:
Density functional theory data (GGA-PBE) for a relaxed NbZn2FeBi crystal.

```
data_NbZn2FeBi
_cell_length_a 4.609
_cell_length_b 4.609
_cell_length_c 4.861
_cell_angle_alpha 90.00
_cell_angle_beta 90.00
_cell_angle_gamma 90.00
_symmetry_space_group_name_H-M 'P 1'
_symmetry_Int_Tables_number 1
loop_
_symmetry_equiv_pos_as_xyz
'x,y,z'
loop_
_atom_site_label
_atom_site_type_symbol
_atom_site_fract_x
_atom_site_fract_y
_atom_site_fract_z
Nb1 Nb 0.000 0.000 0.000
Zn1 Zn 0.000 0.500 0.500
Zn2 Zn 0.500 0.000 0.500
Fe1 Fe 0.500 0.500 0.500
Bi1 Bi 0.500 0.500 0.000
```

Values from the calculation:
space-group type	P4/mmm
ΔH_f (0 K)	0.84	eV/atom



Entry 2:
Density functional theory data (GGA-PBE) for a relaxed Dy5TlS4 crystal.

```
data_Dy5TlS4
_cell_length_a 6.954
_cell_length_b 6.954
_cell_length_c 10.027
_cell_angle_alpha 118.69
_cell_angle_beta 118.69
_cell_angle_gamma 32.84
_symmetry_space_group_name_H-M 'P 1'
_symmetry_Int_Tables_number 1
loop_
_symmetry_equiv_pos_as_xyz
'x,y,z'
loop_
_atom_site_label
_atom_site_type_symbol
_atom_site_fract_x
_atom_site_fract_y
_atom_site_fract_z
Dy1 Dy 0.000 0.000 0.000
Dy2 Dy 0.204 0.204 0.815
Dy3 Dy 0.387 0.387 0.612
Dy4 Dy 0.613 0.613 0.388
Dy5 Dy 0.796 0.796 0.185
Tl1 Tl 0.000 0.000 0.500
S1 S 0.203 0.203 0.288
S2 S 0.404 0.404 0.099
S3 S 0.596 0.596 0.901
S4 S 0.797 0.797 0.712
```

Values from the calculation:
space-group type	C2/m
formation energy without anion corrections	-16.12	eV per formula unit



Entry 3:
Density functional theory data (GGA-PBE) for a relaxed LiP2Ru crystal.

```
data_LiP2Ru
_cell_length_a 5.900
_cell_length_b 5.900
_cell_length_c 5.900
_cell_angle_alpha 90.00
_cell_angle_beta 90.00
_cell_angle_gamma 90.00
_symmetry_space_group_name_H-M 'P 1'
_symmetry_Int_Tables_number 1
loop_
_symmetry_equiv_pos_as_xyz
'x,y,z'
loop_
_atom_site_label
_atom_site_type_symbol
_atom_site_fract_x
_atom_site_fract_y
_atom_site_fract_z
Li1 Li 0.000 0.000 0.000
Li2 Li 0.000 0.500 0.500
Li3 Li 0.500 0.000 0.500
Li4 Li 0.500 0.500 0.000
P1 P 0.000 0.000 0.500
P2 P 0.000 0.500 0.000
P3 P 0.250 0.250 0.750
P4 P 0.250 0.750 0.250
P5 P 0.500 0.000 0.000
P6 P 0.500 0.500 0.500
P7 P 0.750 0.250 0.250
P8 P 0.750 0.750 0.750
Ru1 Ru 0.250 0.250 0.250
Ru2 Ru 0.250 0.750 0.750
Ru3 Ru 0.750 0.250 0.750
Ru4 Ru 0.750 0.750 0.250
```

Values from the calculation:
space-group type	F-43m
relative energy among the computed polymorphs	187	kJ/mol of formula units
ΔH_f (0 K)	0.13	eV/atom



Entry 4:
Density functional theory data (GGA-PBE) for a relaxed Rb3Sr2NpO6 crystal.

```
data_Rb3Sr2NpO6
_cell_length_a 6.366
_cell_length_b 6.366
_cell_length_c 6.884
_cell_angle_alpha 98.89
_cell_angle_beta 98.89
_cell_angle_gamma 119.94
_symmetry_space_group_name_H-M 'P 1'
_symmetry_Int_Tables_number 1
loop_
_symmetry_equiv_pos_as_xyz
'x,y,z'
loop_
_atom_site_label
_atom_site_type_symbol
_atom_site_fract_x
_atom_site_fract_y
_atom_site_fract_z
Rb1 Rb 0.000 0.000 0.000
Rb2 Rb 0.332 0.668 0.000
Rb3 Rb 0.668 0.332 0.000
Sr1 Sr 0.167 0.833 0.500
Sr2 Sr 0.833 0.167 0.500
Np1 Np 0.500 0.500 0.500
O1 O 0.151 0.439 0.318
O2 O 0.272 0.272 0.683
O3 O 0.439 0.151 0.318
O4 O 0.561 0.849 0.682
O5 O 0.728 0.728 0.317
O6 O 0.849 0.561 0.682
```

Values from the calculation:
space-group type	C2/m
formation energy without anion corrections	-28.37	eV per formula unit



Entry 5:
Density functional theory data (GGA-PBE) for a relaxed LaGaHg2 crystal.

```
data_LaGaHg2
_cell_length_a 8.866
_cell_length_b 7.695
_cell_length_c 5.880
_cell_angle_alpha 90.00
_cell_angle_beta 90.00
_cell_angle_gamma 90.00
_symmetry_space_group_name_H-M 'P 1'
_symmetry_Int_Tables_number 1
loop_
_symmetry_equiv_pos_as_xyz
'x,y,z'
loop_
_atom_site_label
_atom_site_type_symbol
_atom_site_fract_x
_atom_site_fract_y
_atom_site_fract_z
La1 La 0.051 0.250 0.128
La2 La 0.449 0.750 0.628
La3 La 0.551 0.250 0.372
La4 La 0.949 0.750 0.872
Ga1 Ga 0.095 0.750 0.369
Ga2 Ga 0.405 0.250 0.869
Ga3 Ga 0.595 0.750 0.131
Ga4 Ga 0.905 0.250 0.631
Hg1 Hg 0.181 0.043 0.646
Hg2 Hg 0.181 0.457 0.646
Hg3 Hg 0.319 0.543 0.146
Hg4 Hg 0.319 0.957 0.146
Hg5 Hg 0.681 0.043 0.854
Hg6 Hg 0.681 0.457 0.854
Hg7 Hg 0.819 0.543 0.354
Hg8 Hg 0.819 0.957 0.354
```

Values from the calculation:
space-group type	Pnma
ΔH_f (0 K)	-0.39	eV/atom



Entry 6:
Density functional theory data (GGA-PBE) for a relaxed Ce2UAu6 crystal.

```
data_Ce2UAu6
_cell_length_a 8.421
_cell_length_b 8.421
_cell_length_c 3.170
_cell_angle_alpha 90.00
_cell_angle_beta 90.00
_cell_angle_gamma 120.00
_symmetry_space_group_name_H-M 'P 1'
_symmetry_Int_Tables_number 1
loop_
_symmetry_equiv_pos_as_xyz
'x,y,z'
loop_
_atom_site_label
_atom_site_type_symbol
_atom_site_fract_x
_atom_site_fract_y
_atom_site_fract_z
Ce1 Ce 0.333 0.667 0.000
Ce2 Ce 0.667 0.333 0.000
U1 U 0.000 0.000 0.000
Au1 Au 0.000 0.332 0.500
Au2 Au 0.000 0.668 0.500
Au3 Au 0.332 0.000 0.500
Au4 Au 0.332 0.332 0.500
Au5 Au 0.668 0.000 0.500
Au6 Au 0.668 0.668 0.500
```

Values from the calculation:
space-group type	P6/mmm
ΔH_f (0 K)	-0.54	eV/atom



Entry 7:
Density functional theory data (GGA-PBE) for a relaxed La3NdDy2Y6 crystal.

```
data_La3NdDy2Y6
_cell_length_a 6.278
_cell_length_b 6.278
_cell_length_c 11.920
_cell_angle_alpha 95.03
_cell_angle_beta 95.03
_cell_angle_gamma 120.00
_symmetry_space_group_name_H-M 'P 1'
_symmetry_Int_Tables_number 1
loop_
_symmetry_equiv_pos_as_xyz
'x,y,z'
loop_
_atom_site_label
_atom_site_type_symbol
_atom_site_fract_x
_atom_site_fract_y
_atom_site_fract_z
La1 La 0.000 0.000 0.000
La2 La 0.333 0.667 0.000
La3 La 0.667 0.333 0.000
Nd1 Nd 0.500 0.500 0.500
Dy1 Dy 0.167 0.833 0.500
Dy2 Dy 0.833 0.167 0.500
Y1 Y 0.084 0.418 0.254
Y2 Y 0.248 0.248 0.746
Y3 Y 0.418 0.084 0.254
Y4 Y 0.582 0.916 0.746
Y5 Y 0.752 0.752 0.254
Y6 Y 0.916 0.582 0.746
```

Values from the calculation:
space-group type	C2/m
ΔH_f (0 K)	0.02	eV/atom



Entry 8:
Density functional theory data (GGA-PBE) for a relaxed CsCd2 crystal.

```
data_CsCd2
_cell_length_a 4.881
_cell_length_b 13.875
_cell_length_c 6.811
_cell_angle_alpha 90.00
_cell_angle_beta 90.00
_cell_angle_gamma 90.00
_symmetry_space_group_name_H-M 'P 1'
_symmetry_Int_Tables_number 1
loop_
_symmetry_equiv_pos_as_xyz
'x,y,z'
loop_
_atom_site_label
_atom_site_type_symbol
_atom_site_fract_x
_atom_site_fract_y
_atom_site_fract_z
Cs1 Cs 0.000 0.213 0.250
Cs2 Cs 0.000 0.787 0.750
Cs3 Cs 0.500 0.287 0.750
Cs4 Cs 0.500 0.713 0.250
Cd1 Cd 0.000 0.056 0.750
Cd2 Cd 0.000 0.500 0.000
Cd3 Cd 0.000 0.500 0.500
Cd4 Cd 0.000 0.944 0.250
Cd5 Cd 0.500 0.000 0.000
Cd6 Cd 0.500 0.000 0.500
Cd7 Cd 0.500 0.444 0.250
Cd8 Cd 0.500 0.556 0.750
```

Values from the calculation:
space-group type	Cmcm
ΔH_f (0 K)	-0.05	eV/atom



Entry 9:
Density functional theory data (GGA-PBE) for a relaxed PuHf2Ge crystal.

```
data_PuHf2Ge
_cell_length_a 3.235
_cell_length_b 3.235
_cell_length_c 28.612
_cell_angle_alpha 90.00
_cell_angle_beta 90.00
_cell_angle_gamma 120.00
_symmetry_space_group_name_H-M 'P 1'
_symmetry_Int_Tables_number 1
loop_
_symmetry_equiv_pos_as_xyz
'x,y,z'
loop_
_atom_site_label
_atom_site_type_symbol
_atom_site_fract_x
_atom_site_fract_y
_atom_site_fract_z
Pu1 Pu 0.000 0.000 0.000
Pu2 Pu 0.333 0.667 0.667
Pu3 Pu 0.667 0.333 0.333
Hf1 Hf 0.000 0.000 0.243
Hf2 Hf 0.000 0.000 0.757
Hf3 Hf 0.333 0.667 0.424
Hf4 Hf 0.333 0.667 0.910
Hf5 Hf 0.667 0.333 0.090
Hf6 Hf 0.667 0.333 0.576
Ge1 Ge 0.000 0.000 0.500
Ge2 Ge 0.333 0.667 0.167
Ge3 Ge 0.667 0.333 0.833
```

Values from the calculation:
space-group type	R-3m
ΔH_f (0 K)	-0.05	eV/atom



Entry 10:
Density functional theory data (GGA-PBE) for a relaxed DyThIrRh crystal.

```
data_DyThIrRh
_cell_length_a 4.361
_cell_length_b 3.810
_cell_length_c 10.700
_cell_angle_alpha 90.00
_cell_angle_beta 90.00
_cell_angle_gamma 90.00
_symmetry_space_group_name_H-M 'P 1'
_symmetry_Int_Tables_number 1
loop_
_symmetry_equiv_pos_as_xyz
'x,y,z'
loop_
_atom_site_label
_atom_site_type_symbol
_atom_site_fract_x
_atom_site_fract_y
_atom_site_fract_z
Dy1 Dy 0.000 0.000 0.000
Dy2 Dy 0.000 0.500 0.500
Th1 Th 0.500 0.000 0.277
Th2 Th 0.500 0.500 0.777
Ir1 Ir 0.500 0.000 0.547
Ir2 Ir 0.500 0.500 0.047
Rh1 Rh 0.000 0.000 0.729
Rh2 Rh 0.000 0.500 0.229
```

Values from the calculation:
space-group type	Amm2
relative energy among the computed polymorphs	0	kJ/mol of formula units
ΔH_f (0 K)	-0.92	eV/atom



Record-wise ρ values, in g cm⁻³: 7.86; 8.35; 5.50; 5.52; 10.10; 14.49; 5.88; 5.15; 12.94; 12.88
Record-wise DOS(E_F) values, in states/eV per atom: 0.985; 0.365; 0.557; 0.673; 0.691; 1.920; 1.354; 0.448; 1.534; 0.627